Entry 1:
5
Lattice="5.2237 0.0000 0.0000 0.0000 5.2237 0.0000 0.0000 0.0000 5.5778" Properties=species:S:1:pos:R:3 comment="TiTe2IN GGA-PBEsol relaxed" m_tot_mub_per_atom=0.596 vol_a3_per_cell=152 e_tot_ev_per_atom=-4.291 dos_at_fermi_per_ev_cell=3.10 crystal_system=tetragonal pbc="T T T"
I 0.0000 0.0000 2.7889
N 2.6119 2.6119 2.7889
Te 0.0000 2.6119 0.0000
Te 2.6119 0.0000 0.0000
Ti 0.0000 0.0000 0.0000


Entry 2:
5
Lattice="-2.1836 3.9063 0.0097 -1.6727 -0.9250 -4.0465 -4.9252 -2.7597 2.6668" Properties=species:S:1:pos:R:3 comment="YTeIN2 GGA-PBEsol relaxed" m_tot_mub_per_atom=0.725 vol_a3_per_cell=125 e_tot_ev_per_atom=-5.075 dos_at_fermi_per_ev_cell=2.88 crystal_system=tetragonal pbc="T T T"
I -2.4626 -1.3799 1.3334
Y 0.0000 0.0000 0.0000
Te -4.3907 0.1108 -0.6850
N -0.8363 -0.4625 -2.0232
N -1.0918 1.9532 0.0048


Entry 3:
5
Lattice="-3.1164 2.1643 -0.7897 -1.8955 -4.1155 -3.7994 -2.9604 -2.6690 4.3679" Properties=species:S:1:pos:R:3 comment="ZnTe2IN GGA-PBEsol relaxed" m_tot_mub_per_atom=0.000 vol_a3_per_cell=136 e_tot_ev_per_atom=-2.543 dos_at_fermi_per_ev_cell=3.21 crystal_system=tetragonal pbc="T T T"
I 0.0000 0.0000 0.0000
Zn -3.9861 -2.3101 -0.1106
Te -1.4802 -1.3345 2.1840
Te -0.9477 -2.0578 -1.8997
N -1.5582 1.0821 -0.3948


Entry 4:
5
Lattice="-4.4243 1.0201 2.0472 2.0183 -0.3563 4.5394 1.0052 4.5415 -0.0905" Properties=species:S:1:pos:R:3 comment="ZnTeI2N GGA-PBEsol relaxed" m_tot_mub_per_atom=0.000 vol_a3_per_cell=115 e_tot_ev_per_atom=-2.633 dos_at_fermi_per_ev_cell=3.82 crystal_system=tetragonal pbc="T T T"
I 1.0092 -0.1781 2.2697
I -2.2122 0.5100 1.0236
Zn -0.7004 2.6027 3.2481
Te 0.5026 2.2708 -0.0453
N 0.0000 0.0000 0.0000


Copy entry 2 word for word.
5
Lattice="-2.1836 3.9063 0.0097 -1.6727 -0.9250 -4.0465 -4.9252 -2.7597 2.6668" Properties=species:S:1:pos:R:3 comment="YTeIN2 GGA-PBEsol relaxed" m_tot_mub_per_atom=0.725 vol_a3_per_cell=125 e_tot_ev_per_atom=-5.075 dos_at_fermi_per_ev_cell=2.88 crystal_system=tetragonal pbc="T T T"
I -2.4626 -1.3799 1.3334
Y 0.0000 0.0000 0.0000
Te -4.3907 0.1108 -0.6850
N -0.8363 -0.4625 -2.0232
N -1.0918 1.9532 0.0048